1.
# ZrAlIr PBE optimized geometry
data_ZrAlIr
_cell_length_a 6.219
_cell_length_b 6.219
_cell_length_c 6.219
_cell_angle_alpha 90.00
_cell_angle_beta 90.00
_cell_angle_gamma 90.00
_space_group_name_H-M_alt 'F -4 3 m'
_space_group_IT_number 216
_space_group_name_Hall 'F -4 2 3'
loop_
_atom_site_label
_atom_site_type_symbol
_atom_site_fract_x
_atom_site_fract_y
_atom_site_fract_z
Zr1 Zr 0.000 0.000 0.000
Al1 Al 0.000 0.000 0.500
Ir1 Ir 0.250 0.250 0.750
# E	-7.71	eV/atom
# ρ	8574	kg/m3
# magnetic moment	0.490	μB per formula unit
# V	240.5	Å³ per cell

2.
# LiGdCo PBE optimized geometry
data_LiGdCo
_cell_length_a 6.017
_cell_length_b 6.017
_cell_length_c 6.017
_cell_angle_alpha 90.00
_cell_angle_beta 90.00
_cell_angle_gamma 90.00
_space_group_name_H-M_alt 'F -4 3 m'
_space_group_IT_number 216
_space_group_name_Hall 'F -4 2 3'
loop_
_atom_site_label
_atom_site_type_symbol
_atom_site_fract_x
_atom_site_fract_y
_atom_site_fract_z
Li1 Li 0.000 0.000 0.000
Gd1 Gd 0.250 0.250 0.750
Co1 Co 0.250 0.250 0.250
# energy relative to the lowest polymorph listed for this composition	0.000	eV/atom
# ρ	6803	kg/m3
# magnetic moment	0.003	μB per formula unit
# V	217.9	Å³ per cell

3.
# LiHoGe PBE optimized geometry
data_LiHoGe
_cell_length_a 6.9981
_cell_length_b 6.9981
_cell_length_c 4.2385
_cell_angle_alpha 90.00
_cell_angle_beta 90.00
_cell_angle_gamma 120.00
_space_group_name_H-M_alt 'P -6 2 m'
_space_group_IT_number 189
_space_group_name_Hall 'P -6 -2'
loop_
_atom_site_label
_atom_site_type_symbol
_atom_site_fract_x
_atom_site_fract_y
_atom_site_fract_z
Li1 Li 0.0000 0.2316 0.0000
Ho1 Ho 0.0000 0.5727 0.5000
Ge1 Ge 0.0000 0.0000 0.5000
Ge2 Ge 0.3333 0.6667 0.0000
# E	-4.42	eV/atom
# ρ	6776	kg/m3
# magnetic moment	0.000	μB per formula unit
# V	179.8	Å³ per cell

4.
# TcAsIrO PBE optimized geometry
data_TcAsIrO
_cell_length_a 3.840
_cell_length_b 5.532
_cell_length_c 5.492
_cell_angle_alpha 90.00
_cell_angle_beta 90.00
_cell_angle_gamma 90.00
_space_group_name_H-M_alt 'P m c 21'
_space_group_IT_number 26
_space_group_name_Hall 'P 2c -2'
loop_
_atom_site_label
_atom_site_type_symbol
_atom_site_fract_x
_atom_site_fract_y
_atom_site_fract_z
Tc1 Tc 0.000 0.067 0.000
As1 As 0.500 0.283 0.792
Ir1 Ir 0.500 0.248 0.345
O1 O 0.000 0.315 0.262
# energy relative to the lowest polymorph listed for this composition	0.000	eV/atom
# ρ	10851	kg/m3
# magnetic moment	0.007	μB per formula unit
# V	116.7	Å³ per cell

5.
# PrInW PBE optimized geometry
data_PrInW
_cell_length_a 6.904
_cell_length_b 6.904
_cell_length_c 6.904
_cell_angle_alpha 90.00
_cell_angle_beta 90.00
_cell_angle_gamma 90.00
_space_group_name_H-M_alt 'F -4 3 m'
_space_group_IT_number 216
_space_group_name_Hall 'F -4 2 3'
loop_
_atom_site_label
_atom_site_type_symbol
_atom_site_fract_x
_atom_site_fract_y
_atom_site_fract_z
Pr1 Pr 0.000 0.000 0.000
In1 In 0.000 0.000 0.500
W1 W 0.250 0.250 0.750
# energy relative to the lowest polymorph listed for this composition	0.000	eV/atom
# ρ	8874	kg/m3
# magnetic moment	2.088	μB per formula unit
# V	329.0	Å³ per cell

6.
# HoErB2Ir2N2 PBE optimized geometry
data_HoErB2Ir2N2
_cell_length_a 3.732
_cell_length_b 3.732
_cell_length_c 7.410
_cell_angle_alpha 90.00
_cell_angle_beta 90.00
_cell_angle_gamma 90.00
_space_group_name_H-M_alt 'P 4 m m'
_space_group_IT_number 99
_space_group_name_Hall 'P 4 -2'
loop_
_atom_site_label
_atom_site_type_symbol
_atom_site_fract_x
_atom_site_fract_y
_atom_site_fract_z
Ho1 Ho 0.000 0.000 0.000
Er1 Er 0.500 0.500 0.677
B1 B 0.000 0.000 0.495
B2 B 0.500 0.500 0.181
Ir1 Ir 0.000 0.500 0.339
N1 N 0.000 0.000 0.697
N2 N 0.500 0.500 0.979
# E	-8.27	eV/atom
# ρ	12327	kg/m3
# magnetic moment	0.002	μB per formula unit
# V	103.2	Å³ per cell

7.
# La2PrMg3CuPt2 PBE optimized geometry
data_La2PrMg3CuPt2
_cell_length_a 4.146
_cell_length_b 13.329
_cell_length_c 7.643
_cell_angle_alpha 90.00
_cell_angle_beta 90.00
_cell_angle_gamma 90.00
_space_group_name_H-M_alt 'A m m 2'
_space_group_IT_number 38
_space_group_name_Hall 'A 2 -2'
loop_
_atom_site_label
_atom_site_type_symbol
_atom_site_fract_x
_atom_site_fract_y
_atom_site_fract_z
La1 La 0.000 0.208 0.000
Pr1 Pr 0.000 0.000 0.622
Mg1 Mg 0.500 0.000 0.967
Mg2 Mg 0.500 0.118 0.328
Cu1 Cu 0.000 0.000 0.209
Pt1 Pt 0.500 0.168 0.710
# E	-4.58	eV/atom
# ρ	7433	kg/m3
# magnetic moment	0.006	μB per formula unit
# V	422.4	Å³ per cell

8.
# SmTaAl PBE optimized geometry
data_SmTaAl
_cell_length_a 6.908
_cell_length_b 6.908
_cell_length_c 6.908
_cell_angle_alpha 90.00
_cell_angle_beta 90.00
_cell_angle_gamma 90.00
_space_group_name_H-M_alt 'F -4 3 m'
_space_group_IT_number 216
_space_group_name_Hall 'F -4 2 3'
loop_
_atom_site_label
_atom_site_type_symbol
_atom_site_fract_x
_atom_site_fract_y
_atom_site_fract_z
Sm1 Sm 0.000 0.000 0.000
Ta1 Ta 0.250 0.250 0.250
Al1 Al 0.250 0.250 0.750
# E	-5.48	eV/atom
# ρ	7219	kg/m3
# magnetic moment	2.331	μB per formula unit
# V	329.7	Å³ per cell

Q: What is the formula in the seventh record?
A: La2PrMg3CuPt2